This record from Alexandria describes a relaxed Ba2TmZnTe5 crystal. The functional is PBE-GGA.

POSCAR file:
```
Ba2TmZnTe5
1.0
2.262 -10.162 0.000
2.262 10.162 0.000
0.000 0.000 13.997
Ba Tm Zn Te
4 2 2 10
Direct
0.120 0.880 0.500
0.125 0.875 0.130
0.875 0.125 0.630
0.880 0.120 0.000
0.203 0.797 0.826
0.797 0.203 0.326
0.435 0.565 0.241
0.565 0.435 0.741
0.050 0.950 0.846
0.297 0.703 0.472
0.306 0.694 0.175
0.350 0.650 0.817
0.500 0.500 0.078
0.500 0.500 0.578
0.650 0.350 0.317
0.694 0.306 0.675
0.703 0.297 0.972
0.950 0.050 0.346
```

Calculated values
The calculation puts the total magnetic moment at 0.000 μB/f.u. For the calculated density, the calculation gives 5.921 g cm⁻³. The formation energy (no corrections) is -1231 meV per atom. The density of states at the Fermi level is 0.56 states/eV/atom.